Version one
The following is a DFT calculation (SCAN) of a PBEsol-optimized structure of BiTe2N2. Values from VASP.

Computed properties:
**Symmetry**: P4/mmm (123)
**Magnetization**: 0.0 Bohr magnetons per cell

Geometry as Quantum ESPRESSO input:
```
&SYSTEM
  ibrav = 0, nat = 5, ntyp = 3
/
ATOMIC_SPECIES
N 14.01 N.upf
Bi 208.98 Bi.upf
Te 127.60 Te.upf
CELL_PARAMETERS angstrom
-0.085 -0.151 4.243
0.481 -4.217 -0.140
5.649 0.640 0.135
ATOMIC_POSITIONS angstrom
N 0.241 -2.108 -0.070
Bi 3.023 -1.864 2.119
N -0.042 -0.075 2.122
Te 0.000 0.000 0.000
Te 2.825 0.320 0.068
```



Version two
The following is a DFT calculation (SCAN) of a PBEsol-optimized structure of BiTe2N2. Values from VASP.

Computed properties:
**Symmetry**: P4/mmm (123)
**Magnetization**: 4.8 Bohr magnetons per cell

Geometry as Quantum ESPRESSO input:
```
&SYSTEM
  ibrav = 0, nat = 5, ntyp = 3
/
ATOMIC_SPECIES
N 14.01 N.upf
Te 127.60 Te.upf
Bi 208.98 Bi.upf
CELL_PARAMETERS angstrom
-2.258 3.632 -0.008
-3.007 -1.881 -4.792
-4.073 -2.524 3.547
ATOMIC_POSITIONS angstrom
N -4.669 -0.386 -0.627
Te -1.504 -0.940 -2.396
Te -2.037 -1.262 1.773
N -1.129 1.816 -0.004
Bi 0.000 0.000 0.000
```



The computed energies, referenced to the most stable structure and given in kJ/mol of atoms, are version one 0.0; version two 61.1.